Record 1
Computed, not measured: a relaxed CaIr2Au crystal at the PBE-GGA level of DFT.

Calculated values
ΔH_f (0 K), meV per atom: 126.4
SG: I-4m2, No. 119

Unit cell a=5.011 b=5.011 c=5.011 alpha=131.11 beta=131.11 gamma=71.63
Site moments in Bohr magnetons follow the coordinates.
Fractional positions:
1 Ca 0.750 0.250 0.500  0.00
2 Ir 0.000 0.000 0.000  0.18
3 Ir 0.250 0.750 0.500  0.13
4 Au 0.500 0.500 0.000  0.02

Record 2
Computed, not measured: a relaxed KCaIr2Au crystal at the PBE-GGA level of DFT.

Calculated values
ΔH_f (0 K), meV per atom: 1371.6
SG: P4/mmm, No. 123

Unit cell a=5.091 b=5.514 c=5.091 alpha=90.00 beta=90.00 gamma=90.00
Site moments in Bohr magnetons follow the coordinates.
Fractional positions:
1 Ca 0.000 0.000 0.000  -0.01
2 Ir 0.000 0.000 0.500  0.61
3 Ir 0.500 0.000 0.000  0.67
4 Au 0.000 0.500 0.000  0.02
5 K 0.500 0.500 0.500  0.00

Record 3
Computed, not measured: a relaxed KCaIrAuO crystal at the PBE-GGA level of DFT.

Calculated values
Uncorrected formation energy, eV per atom: -0.631
SG: Cm, No. 8

Unit cell a=5.643 b=3.144 c=12.154 alpha=90.00 beta=99.92 gamma=90.00
Fractional positions:
1 K 0.981 0.000 0.401
2 K 0.981 0.500 0.901
3 Ca 0.592 0.000 0.581
4 Ca 0.592 0.500 0.081
5 Ir 0.181 0.000 0.164
6 Ir 0.181 0.500 0.664
7 Au 0.443 0.000 0.817
8 Au 0.443 0.500 0.317
9 O 0.870 0.000 0.065
10 O 0.870 0.500 0.565

Record 4
Computed, not measured: a relaxed KCaIrAuO crystal at the PBE-GGA level of DFT.

Calculated values
Uncorrected formation energy, eV per atom: -0.668
SG: Amm2, No. 38

Unit cell a=4.628 b=4.511 c=11.982 alpha=90.00 beta=90.00 gamma=90.00
Fractional positions:
1 K 0.500 0.000 0.985
2 K 0.500 0.500 0.485
3 Ca 0.000 0.000 0.273
4 Ca 0.000 0.500 0.773
5 Ir 0.000 0.000 0.615
6 Ir 0.000 0.500 0.115
7 Au 0.500 0.000 0.703
8 Au 0.500 0.500 0.203
9 O 0.000 0.000 0.458
10 O 0.000 0.500 0.958

Record 5
Computed, not measured: a relaxed KCaIrAuO crystal at the PBE-GGA level of DFT.

Calculated values
Uncorrected formation energy, eV per atom: -0.742
SG: Pmm2, No. 25

Unit cell a=3.811 b=3.789 c=7.880 alpha=90.00 beta=90.00 gamma=90.00
Fractional positions:
1 K 0.000 0.000 0.652
2 Ca 0.000 0.000 0.136
3 Ir 0.500 0.500 0.946
4 Au 0.500 0.500 0.347
5 O 0.000 0.500 0.937

Record 6
Computed, not measured: a relaxed KCaIrAuO crystal at the PBE-GGA level of DFT.

Calculated values
Uncorrected formation energy, eV per atom: -0.529
SG: Cm, No. 8

Unit cell a=4.774 b=4.703 c=12.326 alpha=90.00 beta=112.57 gamma=90.00
Fractional positions:
1 K 0.310 0.000 0.304
2 K 0.310 0.500 0.804
3 Ca 0.960 0.000 0.956
4 Ca 0.960 0.500 0.456
5 Ir 0.113 0.000 0.607
6 Ir 0.113 0.500 0.107
7 Au 0.692 0.000 0.686
8 Au 0.692 0.500 0.186
9 O 0.942 0.000 0.437
10 O 0.942 0.500 0.937

Record 7
Computed, not measured: a relaxed KCaIrAuO crystal at the PBE-GGA level of DFT.

Calculated values
Uncorrected formation energy, eV per atom: -0.667
SG: Pm, No. 6

Unit cell a=3.815 b=5.036 c=5.692 alpha=90.00 beta=90.37 gamma=90.00
Fractional positions:
1 K 0.208 0.000 0.469
2 Ca 0.215 0.500 0.006
3 Ir 0.713 0.000 0.963
4 Au 0.709 0.500 0.576
5 O 0.213 0.000 0.967

Record 8
Computed, not measured: a relaxed CaLa2IrAu crystal at the PBE-GGA level of DFT.

Calculated values
ΔH_f (0 K), meV per atom: -482.1
SG: P4mm, No. 99

Unit cell a=5.552 b=5.552 c=5.736 alpha=90.00 beta=90.00 gamma=90.00
Fractional positions:
1 Ca 0.000 0.000 0.469
2 La 0.000 0.500 0.948
3 La 0.500 0.000 0.948
4 Ir 0.000 0.000 0.972
5 Au 0.500 0.500 0.664

Record 9
Computed, not measured: a relaxed CaLaIrAu crystal at the PBE-GGA level of DFT.

Calculated values
ΔH_f (0 K), meV per atom: -629.8
SG: F-43m, No. 216

Unit cell a=5.098 b=5.098 c=5.098 alpha=60.00 beta=60.00 gamma=60.00
Fractional positions:
1 Ca 0.250 0.250 0.250
2 Ir 0.000 0.000 0.000
3 Au 0.500 0.500 0.500
4 La 0.750 0.750 0.750

Record 10
Computed, not measured: a relaxed Ca2LaIrAu crystal at the PBE-GGA level of DFT.

Calculated values
ΔH_f (0 K), meV per atom: -378.6
SG: P4mm, No. 99

Unit cell a=5.469 b=5.469 c=5.486 alpha=90.00 beta=90.00 gamma=90.00
Fractional positions:
1 Ca 0.000 0.500 0.955
2 Ca 0.500 0.000 0.955
3 La 0.000 0.000 0.484
4 Ir 0.000 0.000 0.003
5 Au 0.500 0.500 0.603

Record 11
Computed, not measured: a relaxed Ca2IrAuN crystal at the PBE-GGA level of DFT.

Calculated values
Uncorrected formation energy, eV per atom: -0.735
SG: P4/mmm, No. 123

Unit cell a=5.086 b=5.086 c=3.788 alpha=90.00 beta=90.00 gamma=90.00
Fractional positions:
1 Ca 0.000 0.500 0.000
2 Ca 0.500 0.000 0.000
3 Ir 0.000 0.000 0.500
4 Au 0.500 0.500 0.500
5 N 0.000 0.000 0.000

Record 12
Computed, not measured: a relaxed CaIrPb2Au crystal at the PBE-GGA level of DFT.

Calculated values
ΔH_f (0 K), meV per atom: -17.0
SG: P4/mmm, No. 123

Unit cell a=5.198 b=5.529 c=5.198 alpha=90.00 beta=90.00 gamma=90.00
Fractional positions:
1 Pb 0.000 0.000 0.500
2 Pb 0.500 0.000 0.000
3 Ca 0.000 0.500 0.000
4 Ir 0.000 0.000 0.000
5 Au 0.500 0.500 0.500

Record 13
Computed, not measured: a relaxed CaIrPb2Au crystal at the PBE-GGA level of DFT.

Calculated values
ΔH_f (0 K), meV per atom: 115.8
SG: P4/mmm, No. 123

Unit cell a=5.370 b=5.370 c=5.382 alpha=90.00 beta=90.00 gamma=90.00
Fractional positions:
1 Pb 0.000 0.500 0.000
2 Pb 0.500 0.000 0.000
3 Ca 0.500 0.500 0.500
4 Ir 0.000 0.000 0.000
5 Au 0.000 0.000 0.500

Record 14
Computed, not measured: a relaxed CaPmIrAu crystal at the PBE-GGA level of DFT.

Calculated values
ΔH_f (0 K), meV per atom: -616.3
SG: F-43m, No. 216

Unit cell a=5.031 b=5.031 c=5.031 alpha=60.00 beta=60.00 gamma=60.00
Fractional positions:
1 Ca 0.250 0.250 0.250
2 Ir 0.500 0.500 0.500
3 Au 0.000 0.000 0.000
4 Pm 0.750 0.750 0.750

Record 15
Computed, not measured: a relaxed CaIr2RhAu crystal at the PBE-GGA level of DFT.

Calculated values
ΔH_f (0 K), meV per atom: 2141.9
SG: P4/mmm, No. 123

Unit cell a=4.739 b=4.954 c=4.739 alpha=90.00 beta=90.00 gamma=90.00
Site moments in Bohr magnetons follow the coordinates.
Fractional positions:
1 Rh 0.500 0.500 0.500  1.18
2 Ca 0.000 0.000 0.000  -0.03
3 Ir 0.000 0.000 0.500  0.51
4 Ir 0.500 0.000 0.000  0.86
5 Au 0.000 0.500 0.000  0.00

Record 16
Computed, not measured: a relaxed CaTc2IrAu crystal at the PBE-GGA level of DFT.

Calculated values
ΔH_f (0 K), meV per atom: 1949.2
SG: P4/mmm, No. 123

Unit cell a=4.809 b=4.809 c=5.084 alpha=90.00 beta=90.00 gamma=90.00
Fractional positions:
1 Ca 0.000 0.000 0.500
2 Ir 0.500 0.500 0.500
3 Au 0.000 0.000 0.000
4 Tc 0.000 0.500 0.000
5 Tc 0.500 0.000 0.000

Record 17
Computed, not measured: a relaxed CaIrWAu2 crystal at the PBE-GGA level of DFT.

Calculated values
ΔH_f (0 K), meV per atom: 1762.9
SG: P4/mmm, No. 123

Unit cell a=4.959 b=5.421 c=4.959 alpha=90.00 beta=90.00 gamma=90.00
Site moments in Bohr magnetons follow the coordinates.
Fractional positions:
1 Ca 0.000 0.500 0.000  0.00
2 Ir 0.500 0.500 0.500  1.46
3 Au 0.000 0.000 0.500  0.03
4 Au 0.500 0.000 0.000  0.02
5 W 0.000 0.000 0.000  0.17

Record 18
Computed, not measured: a relaxed K3CaAu4 crystal at the PBE-GGA level of DFT.

Calculated values
ΔH_f (0 K), meV per atom: -420.0
SG: P4/mmm, No. 123

Unit cell a=3.854 b=3.854 c=16.020 alpha=90.00 beta=90.00 gamma=90.00
Fractional positions:
1 K 0.500 0.500 0.245
2 K 0.500 0.500 0.500
3 K 0.500 0.500 0.755
4 Au 0.000 0.000 0.906
5 Au 0.000 0.000 0.094
6 Au 0.000 0.000 0.371
7 Au 0.000 0.000 0.629
8 Ca 0.500 0.500 0.000

Record 19
Computed, not measured: a relaxed K2CaAu crystal at the PBE-GGA level of DFT.

Calculated values
ΔH_f (0 K), meV per atom: -28.3
SG: R-3m, No. 166

Unit cell a=12.031 b=12.031 c=12.031 alpha=20.28 beta=20.28 gamma=20.28
Fractional positions:
1 Au 0.750 0.750 0.750
2 Ca 0.250 0.250 0.250
3 K 0.021 0.021 0.021
4 K 0.479 0.479 0.479

Record 20
Computed, not measured: a relaxed KCaAu crystal at the PBE-GGA level of DFT.

Calculated values
ΔH_f (0 K), meV per atom: -268.7
SG: F-43m, No. 216

Unit cell a=5.316 b=5.316 c=5.316 alpha=60.00 beta=60.00 gamma=60.00
Fractional positions:
1 Au 0.750 0.750 0.750
2 Ca 0.000 0.000 0.000
3 K 0.500 0.500 0.500

Record 21
Computed, not measured: a relaxed KCa3Au4 crystal at the PBE-GGA level of DFT.

Calculated values
ΔH_f (0 K), meV per atom: -621.1
SG: R-3m, No. 166

Unit cell a=5.207 b=5.207 c=9.247 alpha=73.65 beta=73.65 gamma=60.00
Fractional positions:
1 K 0.000 0.000 0.000
2 Au 0.867 0.867 0.400
3 Au 0.384 0.384 0.847
4 Au 0.133 0.133 0.600
5 Au 0.616 0.616 0.153
6 Ca 0.250 0.250 0.249
7 Ca 0.750 0.750 0.751
8 Ca 0.500 0.500 0.500

Record 22
Computed, not measured: a relaxed K2CaAu2 crystal at the PBE-GGA level of DFT.

Calculated values
ΔH_f (0 K), meV per atom: -316.7
SG: P4/mbm, No. 127

Unit cell a=7.941 b=7.941 c=5.229 alpha=90.00 beta=90.00 gamma=90.00
Fractional positions:
1 Ca 0.000 0.000 0.000
2 Ca 0.500 0.500 0.000
3 Au 0.371 0.871 0.000
4 Au 0.871 0.629 0.000
5 Au 0.629 0.129 0.000
6 Au 0.129 0.371 0.000
7 K 0.164 0.664 0.500
8 K 0.664 0.836 0.500
9 K 0.836 0.336 0.500
10 K 0.336 0.164 0.500

Record 23
Computed, not measured: a relaxed K2CaAu crystal at the PBE-GGA level of DFT.

Calculated values
ΔH_f (0 K), meV per atom: -164.3
SG: Imm2, No. 44

Unit cell a=7.751 b=7.751 c=7.751 alpha=149.68 beta=131.17 gamma=58.56
Fractional positions:
1 Au 0.481 0.481 0.000
2 Ca 0.327 0.827 0.500
3 K 0.008 0.008 0.000
4 K 0.685 0.185 0.500

Record 24
Computed, not measured: a relaxed KCaAu crystal at the PBE-GGA level of DFT.

Calculated values
ΔH_f (0 K), meV per atom: 214.5
SG: F-43m, No. 216

Unit cell a=5.282 b=5.282 c=5.282 alpha=60.00 beta=60.00 gamma=60.00
Fractional positions:
1 Au 0.000 0.000 0.000
2 Ca 0.500 0.500 0.500
3 K 0.750 0.750 0.750

Record 25
Computed, not measured: a relaxed K2CaAu2 crystal at the PBE-GGA level of DFT.

Calculated values
ΔH_f (0 K), meV per atom: -209.2
SG: I4/mmm, No. 139

Unit cell a=4.585 b=4.585 c=8.214 alpha=73.79 beta=73.79 gamma=90.00
Fractional positions:
1 Ca 0.000 0.000 0.000
2 Au 0.410 0.410 0.179
3 Au 0.590 0.590 0.821
4 K 0.750 0.250 0.500
5 K 0.250 0.750 0.500

Record 26
Computed, not measured: a relaxed K2CaAu crystal at the PBE-GGA level of DFT.

Calculated values
ΔH_f (0 K), meV per atom: 131.7
SG: Fm-3m, No. 225

Unit cell a=6.050 b=6.050 c=6.050 alpha=60.00 beta=60.00 gamma=60.00
Fractional positions:
1 Ca 0.000 0.000 0.000
2 Au 0.500 0.500 0.500
3 K 0.250 0.250 0.250
4 K 0.750 0.750 0.750

Record 27
Computed, not measured: a relaxed K2CaAu crystal at the PBE-GGA level of DFT.

Calculated values
ΔH_f (0 K), meV per atom: -31.6
SG: Cmmm, No. 65

Unit cell a=4.869 b=4.869 c=6.123 alpha=90.00 beta=90.00 gamma=90.11
Fractional positions:
1 Au 0.500 0.000 0.500
2 Ca 0.000 0.500 0.500
3 K 0.000 0.000 0.000
4 K 0.500 0.500 0.000

Record 28
Computed, not measured: a relaxed K2CaAu crystal at the PBE-GGA level of DFT.

Calculated values
ΔH_f (0 K), meV per atom: -78.8
SG: I-42d, No. 122

Unit cell a=11.340 b=11.340 c=8.557 alpha=48.50 beta=48.50 gamma=90.00
Fractional positions:
1 Ca 0.500 0.500 0.000
2 Ca 0.250 0.750 0.500
3 Au 0.000 0.000 0.000
4 Au 0.750 0.250 0.500
5 K 0.740 0.125 0.250
6 K 0.010 0.625 0.250
7 K 0.375 0.260 0.750
8 K 0.875 0.990 0.750

Number 1: total DFT energy (no corrections) -0.2067 Ha/atom, D(E_F) 1.394 states/eV per atom. Number 2: total DFT energy (no corrections) -0.1267 Ha/atom, D(E_F) 1.857 states/eV per atom. Number 3: total DFT energy (no corrections) -0.1716 Ha/atom, D(E_F) 0.949 states/eV per atom. Number 4: total DFT energy (no corrections) -0.1730 Ha/atom, D(E_F) 0.783 states/eV per atom. Number 5: total DFT energy (no corrections) -0.1757 Ha/atom, D(E_F) 0.181 states/eV per atom. Number 6: total DFT energy (no corrections) -0.1679 Ha/atom, D(E_F) 0.253 states/eV per atom. Number 7: total DFT energy (no corrections) -0.1730 Ha/atom, D(E_F) 0.142 states/eV per atom. Number 8: total DFT energy (no corrections) -0.1941 Ha/atom, D(E_F) 0.611 states/eV per atom. Number 9: total DFT energy (no corrections) -0.1983 Ha/atom, D(E_F) 0.367 states/eV per atom. Number 10: total DFT energy (no corrections) -0.1688 Ha/atom, D(E_F) 0.523 states/eV per atom. Number 11: total DFT energy (no corrections) -0.2068 Ha/atom, D(E_F) 0.585 states/eV per atom. Number 12: total DFT energy (no corrections) -0.1591 Ha/atom, D(E_F) 0.459 states/eV per atom. Number 13: total DFT energy (no corrections) -0.1542 Ha/atom, D(E_F) 0.945 states/eV per atom. Number 14: total DFT energy (no corrections) -0.1962 Ha/atom, D(E_F) 0.566 states/eV per atom. Number 15: total DFT energy (no corrections) -0.1444 Ha/atom, D(E_F) 1.533 states/eV per atom. Number 16: total DFT energy (no corrections) -0.1847 Ha/atom, D(E_F) 2.136 states/eV per atom. Number 17: total DFT energy (no corrections) -0.1584 Ha/atom, D(E_F) 2.092 states/eV per atom. Number 18: total DFT energy (no corrections) -0.1000 Ha/atom, D(E_F) 0.169 states/eV per atom. Number 19: total DFT energy (no corrections) -0.0697 Ha/atom, D(E_F) 0.547 states/eV per atom. Number 20: total DFT energy (no corrections) -0.0880 Ha/atom, D(E_F) 0.258 states/eV per atom. Number 21: total DFT energy (no corrections) -0.1157 Ha/atom, D(E_F) 0.514 states/eV per atom. Number 22: total DFT energy (no corrections) -0.0907 Ha/atom, D(E_F) 0.163 states/eV per atom. Number 23: total DFT energy (no corrections) -0.0747 Ha/atom, D(E_F) 0.452 states/eV per atom. Number 24: total DFT energy (no corrections) -0.0702 Ha/atom, D(E_F) 0.421 states/eV per atom. Number 25: total DFT energy (no corrections) -0.0867 Ha/atom, D(E_F) 0.453 states/eV per atom. Number 26: total DFT energy (no corrections) -0.0638 Ha/atom, D(E_F) 0.653 states/eV per atom. Number 27: total DFT energy (no corrections) -0.0698 Ha/atom, D(E_F) 0.515 states/eV per atom. Number 28: total DFT energy (no corrections) -0.0716 Ha/atom, D(E_F) 0.689 states/eV per atom.